[1]
Material: NdUGa
Method: DFT, PBE
State: optimized geometry

abc: 13.7463 3.7078 6.0849
angles: 90.00 90.00 90.00
Atoms (fractional coordinates):
Nd 0.2170 0.2500 0.1785
Nd 0.2830 0.7500 0.6785
Nd 0.7170 0.2500 0.3215
Nd 0.7830 0.7500 0.8215
U 0.0475 0.7500 0.9135
U 0.4525 0.2500 0.4135
U 0.5475 0.7500 0.5865
U 0.9525 0.2500 0.0865
Ga 0.0627 0.7500 0.4109
Ga 0.4373 0.2500 0.9109
Ga 0.5627 0.7500 0.0891
Ga 0.9373 0.2500 0.5891

- ΔE_f (eV per atom) = -0.014
- electronic total energy (eV per cell) = -76.503


[2]
Material: ScTiHgPb
Method: DFT, PBE
State: optimized geometry

abc: 4.9672 4.9672 4.9672
angles: 60.00 60.00 60.00
Atoms (fractional coordinates):
Sc 0.0000 0.0000 0.0000
Ti 0.5000 0.5000 0.5000
Hg 0.7500 0.7500 0.7500
Pb 0.2500 0.2500 0.2500

- ΔE_f (eV per atom) = -0.109
- electronic total energy (eV per cell) = -18.671


[3]
Material: Ca3Tl4
Method: DFT, PBE
State: optimized geometry

abc: 11.2214 11.2214 11.2214
angles: 159.99 153.90 33.10
Atoms (fractional coordinates):
Ca 0.0000 0.0000 0.0000
Ca 0.3072 0.8072 0.5000
Ca 0.6928 0.1928 0.5000
Tl 0.1536 0.6536 0.5000
Tl 0.4308 0.4308 0.0000
Tl 0.5692 0.5692 0.0000
Tl 0.8464 0.3464 0.5000

- ΔE_f (eV per atom) = -0.316
- electronic total energy (eV per cell) = -17.681
- energy above the most stable polymorph in this dataset (meV per atom) = 58


[4]
Material: HoSnPd5
Method: DFT, PBE
State: optimized geometry

abc: 4.1152 4.1152 7.5839
angles: 90.00 90.00 90.00
Atoms (fractional coordinates):
Ho 0.0000 0.0000 0.0000
Sn 0.5000 0.5000 0.5000
Pd 0.0000 0.5000 0.2723
Pd 0.0000 0.5000 0.7277
Pd 0.5000 0.0000 0.2723
Pd 0.5000 0.0000 0.7277
Pd 0.5000 0.5000 0.0000

- ΔE_f (eV per atom) = -0.717
- electronic total energy (eV per cell) = -39.561
- energy above the most stable polymorph in this dataset (meV per atom) = 0


[5]
Material: HgIrPb
Method: DFT, PBE
State: optimized geometry

abc: 5.4988 5.4988 7.6171
angles: 120.22 120.22 44.57
Atoms (fractional coordinates):
Hg 0.0000 0.0000 0.0000
Hg 0.5703 0.5703 0.7216
Ir 0.0145 0.0145 0.4042
Ir 0.2945 0.2945 0.7378
Pb 0.3361 0.3361 0.1365
Pb 0.7564 0.7564 0.4597

- ΔE_f (eV per atom) = 0.283
- electronic total energy (eV per cell) = -24.045
- energy above the most stable polymorph in this dataset (meV per atom) = 16


[6]
Material: Sr2Ca5Ag2
Method: DFT, PBE
State: optimized geometry

abc: 11.5147 11.5147 8.0021
angles: 90.00 90.00 40.63
Atoms (fractional coordinates):
Sr 0.2312 0.2312 0.0000
Sr 0.2688 0.2688 0.5000
Sr 0.7312 0.7312 0.5000
Sr 0.7688 0.7688 0.0000
Ca 0.0000 0.0000 0.0000
Ca 0.0707 0.7249 0.6729
Ca 0.2249 0.5707 0.1729
Ca 0.2751 0.9293 0.6729
Ca 0.4293 0.7751 0.1729
Ca 0.5000 0.5000 0.5000
Ca 0.5707 0.2249 0.8271
Ca 0.7249 0.0707 0.3271
Ca 0.7751 0.4293 0.8271
Ca 0.9293 0.2751 0.3271
Ag 0.1262 0.8738 0.3740
Ag 0.3738 0.6262 0.8740
Ag 0.6262 0.3738 0.1260
Ag 0.8738 0.1262 0.6260

- ΔE_f (eV per atom) = -0.135
- electronic total energy (eV per cell) = -40.583


[7]
Material: Mg2ReW
Method: DFT, PBE
State: optimized geometry

abc: 5.3992 5.3992 5.3992
angles: 144.34 133.37 60.05
Atoms (fractional coordinates):
Mg 0.2448 0.2448 0.0000
Mg 0.7552 0.7552 0.0000
Re 0.0000 0.5000 0.5000
W 0.5000 0.0000 0.5000

- ΔE_f (eV per atom) = 0.329
- electronic total energy (eV per cell) = -27.273
- energy above the most stable polymorph in this dataset (meV per atom) = 149


[8]
Material: TlCoSe4
Method: DFT, PBE
State: optimized geometry

abc: 5.8232 5.8232 5.8232
angles: 60.00 60.00 60.00
Atoms (fractional coordinates):
Tl 0.0000 0.0000 0.0000
Co 0.7500 0.7500 0.7500
Se 0.3765 0.3765 0.3765
Se 0.3765 0.3765 0.8705
Se 0.3765 0.8705 0.3765
Se 0.8705 0.3765 0.3765

- electronic total energy (eV per cell) = -19.329
- raw formation energy (eV per formula unit) = 4.08
- energy above the most stable polymorph in this dataset (meV per atom) = 824


[9]
Material: Ce3Dy2Tl6
Method: DFT, PBE
State: optimized geometry

abc: 11.8717 11.8717 11.8717
angles: 150.96 150.96 41.53
Atoms (fractional coordinates):
Ce 0.0000 0.0000 0.0000
Ce 0.1402 0.1402 0.0000
Ce 0.8598 0.8598 0.0000
Dy 0.4244 0.4244 0.0000
Dy 0.5756 0.5756 0.0000
Tl 0.0723 0.5723 0.5000
Tl 0.2853 0.2853 0.0000
Tl 0.4277 0.9277 0.5000
Tl 0.5723 0.0723 0.5000
Tl 0.7147 0.7147 0.0000
Tl 0.9277 0.4277 0.5000

- ΔE_f (eV per atom) = 0.116
- electronic total energy (eV per cell) = -39.925


[10]
Material: SbSe2Cl
Method: DFT, PBE
State: optimized geometry

abc: 6.3224 6.3224 5.0309
angles: 99.19 99.19 32.87
Atoms (fractional coordinates):
Sb 0.0000 0.0000 0.0000
Se 0.3100 0.3100 0.8899
Se 0.6900 0.6900 0.1101
Cl 0.5000 0.5000 0.5000

- electronic total energy (eV per cell) = -12.977
- raw formation energy (eV per formula unit) = -0.04
- energy above the most stable polymorph in this dataset (meV per atom) = 301


[11]
Material: Pr4Nd3DySe8
Method: DFT, PBE
State: optimized geometry

abc: 8.4758 8.4758 8.4758
angles: 59.79 59.79 59.79
Atoms (fractional coordinates):
Pr 0.0000 0.0000 0.0000
Pr 0.0000 0.5000 0.5000
Pr 0.5000 0.0000 0.5000
Pr 0.5000 0.5000 0.0000
Nd 0.0000 0.0000 0.5000
Nd 0.0000 0.5000 0.0000
Nd 0.5000 0.0000 0.0000
Dy 0.5000 0.5000 0.5000
Se 0.2489 0.2489 0.2489
Se 0.2545 0.7434 0.7434
Se 0.2566 0.2566 0.7455
Se 0.2566 0.7455 0.2566
Se 0.7434 0.2545 0.7434
Se 0.7434 0.7434 0.2545
Se 0.7455 0.2566 0.2566
Se 0.7511 0.7511 0.7511

- electronic total energy (eV per cell) = -95.082
- raw formation energy (eV per formula unit) = -29.18


[12]
Material: Tb4SiSbSe2
Method: DFT, PBE
State: optimized geometry

abc: 7.2543 4.1989 7.3184
angles: 90.00 109.42 90.00
Atoms (fractional coordinates):
Tb 0.2411 0.0000 0.2353
Tb 0.2484 0.5000 0.7637
Tb 0.7516 0.5000 0.2363
Tb 0.7589 0.0000 0.7647
Si 0.0000 0.5000 0.0000
Sb 0.0000 0.0000 0.5000
Se 0.5000 0.0000 0.0000
Se 0.5000 0.5000 0.5000

- electronic total energy (eV per cell) = -46.245
- raw formation energy (eV per formula unit) = -11.21


[13]
Material: MgHg2Pd5Au2
Method: DFT, PBE
State: optimized geometry

abc: 10.8250 10.8250 3.0778
angles: 90.00 90.00 90.00
Atoms (fractional coordinates):
Mg 0.0000 0.0000 0.0000
Mg 0.5000 0.5000 0.0000
Hg 0.1607 0.3393 0.0000
Hg 0.3393 0.8393 0.0000
Hg 0.6607 0.1607 0.0000
Hg 0.8393 0.6607 0.0000
Pd 0.0000 0.5000 0.5000
Pd 0.0031 0.8029 0.5000
Pd 0.1971 0.0031 0.5000
Pd 0.3029 0.5031 0.5000
Pd 0.4969 0.3029 0.5000
Pd 0.5000 0.0000 0.5000
Pd 0.5031 0.6971 0.5000
Pd 0.6971 0.4969 0.5000
Pd 0.8029 0.9969 0.5000
Pd 0.9969 0.1971 0.5000
Au 0.1551 0.6551 0.0000
Au 0.3449 0.1551 0.0000
Au 0.6551 0.8449 0.0000
Au 0.8449 0.3449 0.0000

- ΔE_f (eV per atom) = -0.145
- electronic total energy (eV per cell) = -72.332


[14]
Material: CdPb2W
Method: DFT, PBE
State: optimized geometry

abc: 3.0785 3.0785 11.0006
angles: 90.00 90.00 90.00
Atoms (fractional coordinates):
Cd 0.0000 0.0000 0.0000
Pb 0.5000 0.5000 0.2956
Pb 0.5000 0.5000 0.7044
W 0.0000 0.0000 0.5000

- ΔE_f (eV per atom) = 0.666
- electronic total energy (eV per cell) = -18.622


[15]
Material: Be5Cu
Method: DFT, PBE
State: optimized geometry

abc: 3.6439 6.1361 6.1361
angles: 22.37 90.00 90.00
Atoms (fractional coordinates):
Be 0.0000 0.0000 0.0000
Be 0.0000 0.3224 0.3224
Be 0.0000 0.6608 0.6608
Be 0.5000 0.2120 0.2120
Be 0.5000 0.5518 0.5518
Cu 0.5000 0.8835 0.8835

- ΔE_f (eV per atom) = -0.007
- electronic total energy (eV per cell) = -22.769


[16]
Material: TbZnInO4
Method: DFT, PBE
State: optimized geometry

abc: 5.6991 5.6991 6.8721
angles: 90.00 90.00 115.23
Atoms (fractional coordinates):
Tb 0.0000 0.0000 0.0000
Tb 0.0000 0.0000 0.5000
Zn 0.3437 0.6563 0.7500
Zn 0.6563 0.3437 0.2500
In 0.3431 0.6569 0.2500
In 0.6569 0.3431 0.7500
O 0.2355 0.7645 0.5093
O 0.2355 0.7645 0.9907
O 0.2524 0.2604 0.7500
O 0.2604 0.2524 0.2500
O 0.7396 0.7476 0.7500
O 0.7476 0.7396 0.2500
O 0.7645 0.2355 0.0093
O 0.7645 0.2355 0.4907

- electronic total energy (eV per cell) = -86.806
- raw formation energy (eV per formula unit) = -14.93


[17]
Material: CsBiI2Cl
Method: DFT, PBE
State: optimized geometry

abc: 6.3560 6.3560 5.6760
angles: 90.00 90.00 90.00
Atoms (fractional coordinates):
Cs 0.0000 0.0000 0.0000
Bi 0.5000 0.5000 0.5000
I 0.0000 0.5000 0.5000
I 0.5000 0.0000 0.5000
Cl 0.5000 0.5000 0.0000

- electronic total energy (eV per cell) = -14.377
- raw formation energy (eV per formula unit) = -4.70


[18]
Material: Sm4GaHg3
Method: DFT, PBE
State: optimized geometry

abc: 3.7361 3.7361 15.2314
angles: 90.00 90.00 90.00
Atoms (fractional coordinates):
Sm 0.0000 0.0000 0.1155
Sm 0.0000 0.0000 0.3721
Sm 0.0000 0.0000 0.6279
Sm 0.0000 0.0000 0.8845
Ga 0.5000 0.5000 0.0000
Hg 0.5000 0.5000 0.2441
Hg 0.5000 0.5000 0.5000
Hg 0.5000 0.5000 0.7559

- ΔE_f (eV per atom) = -0.493
- electronic total energy (eV per cell) = -26.756


[19]
Material: TbErZr
Method: DFT, PBE
State: optimized geometry

abc: 3.3442 4.9704 10.1857
angles: 90.00 99.22 90.00
Atoms (fractional coordinates):
Tb 0.0551 0.2500 0.0966
Tb 0.9449 0.7500 0.9034
Er 0.3659 0.2500 0.7384
Er 0.6341 0.7500 0.2616
Zr 0.2139 0.2500 0.4255
Zr 0.7861 0.7500 0.5745

- ΔE_f (eV per atom) = 0.125
- electronic total energy (eV per cell) = -34.735
- energy above the most stable polymorph in this dataset (meV per atom) = 49


[20]
Material: ScTi2NbPt
Method: DFT, PBE
State: optimized geometry

abc: 4.6595 4.6595 5.0329
angles: 90.00 90.00 90.00
Atoms (fractional coordinates):
Sc 0.0000 0.0000 0.0000
Ti 0.0000 0.5000 0.5000
Ti 0.5000 0.0000 0.5000
Nb 0.5000 0.5000 0.5000
Pt 0.5000 0.5000 0.0000

- ΔE_f (eV per atom) = 0.517
- electronic total energy (eV per cell) = -35.647


[21]
Material: Ce2S2O
Method: DFT, PBE
State: optimized geometry

abc: 8.4855 7.2276 7.0061
angles: 90.00 98.00 90.00
Atoms (fractional coordinates):
Ce 0.0834 0.1292 0.3056
Ce 0.0834 0.3708 0.8056
Ce 0.3621 0.5554 0.2485
Ce 0.3621 0.9446 0.7485
Ce 0.6379 0.0554 0.2515
Ce 0.6379 0.4446 0.7515
Ce 0.9166 0.6292 0.1944
Ce 0.9166 0.8708 0.6944
S 0.1711 0.6539 0.5538
S 0.1711 0.8461 0.0538
S 0.4192 0.2286 0.4729
S 0.4192 0.2714 0.9729
S 0.5808 0.7286 0.0271
S 0.5808 0.7714 0.5271
S 0.8289 0.1539 0.9462
S 0.8289 0.3461 0.4462
O 0.1156 0.0879 0.6491
O 0.1156 0.4121 0.1491
O 0.8844 0.5879 0.8509
O 0.8844 0.9121 0.3509

- electronic total energy (eV per cell) = -150.372
- raw formation energy (eV per formula unit) = -12.51
- energy above the most stable polymorph in this dataset (meV per atom) = 0


[22]
Material: LaY2MgS
Method: DFT, PBE
State: optimized geometry

abc: 5.2594 5.2594 5.5326
angles: 90.00 90.00 90.00
Atoms (fractional coordinates):
La 0.0000 0.0000 0.0000
Y 0.0000 0.5000 0.5000
Y 0.5000 0.0000 0.5000
Mg 0.5000 0.5000 0.0000
S 0.0000 0.0000 0.5000

- electronic total energy (eV per cell) = -27.253
- raw formation energy (eV per formula unit) = -3.68


[23]
Material: LaGePd
Method: DFT, PBE
State: optimized geometry

abc: 6.0491 6.0491 6.0491
angles: 147.30 147.30 46.93
Atoms (fractional coordinates):
La 0.0000 0.0000 0.0000
Ge 0.2989 0.2989 0.0000
Pd 0.6965 0.6965 0.0000

- ΔE_f (eV per atom) = -0.592
- electronic total energy (eV per cell) = -16.514